BaYNi4O7: relaxed, GGA+U.

Lattice parameters (Å, degrees): 6.3458 6.3458 10.4617 90.00 90.00 120.00
Each line ends with the local moment (μB).
Element x y z (fractional)
1 O 0.5055 0.4945 0.2594  0.19
2 O 0.5055 0.0110 0.2594  0.19
3 O 0.0000 0.0000 0.7437  0.31
4 O 0.1656 0.8344 0.5075  0.13
5 O 0.4945 0.5055 0.7594  0.19
6 O 0.4945 0.9890 0.7594  0.19
7 O 0.8344 0.6689 0.0075  0.13
8 O 0.8344 0.1656 0.0075  0.13
9 O 0.0000 0.0000 0.2437  0.31
10 O 0.6689 0.8344 0.5075  0.13
11 O 0.3311 0.1656 0.0075  0.13
12 O 0.0110 0.5055 0.7594  0.19
13 O 0.1656 0.3311 0.5075  0.13
14 O 0.9890 0.4945 0.2594  0.19
15 Ni 0.3447 0.1724 0.1895  1.85
16 Ni 0.0000 0.0000 0.4424  1.77
17 Ni 0.8276 0.6553 0.1895  1.85
18 Ni 0.6553 0.8276 0.6895  1.85
19 Ni 0.1724 0.8276 0.6895  1.85
20 Ni 0.0000 0.0000 0.9424  1.77
21 Ni 0.1724 0.3447 0.6895  1.85
22 Ni 0.8276 0.1724 0.1895  1.85
23 Ba 0.3333 0.6667 0.9963  -0.01
24 Ba 0.6667 0.3333 0.4963  -0.01
25 Y 0.3333 0.6667 0.3823  0.05
26 Y 0.6667 0.3333 0.8823  0.05

Output
ρ	5216	kg/m3
magnetization	9.0	μB per formula unit
space-group type	No. 186
energy	-5.70	eV/atom